Below is V3CoH3 after structural relaxation, with properties calculated at the PBE level.

Lattice parameters (Å, degrees): 4.912 4.912 4.912 90.00 90.00 90.00
Element x y z (fractional)
V 0.000 0.250 0.500
V 0.000 0.750 0.500
V 0.250 0.500 0.000
V 0.500 0.000 0.250
V 0.500 0.000 0.750
V 0.750 0.500 0.000
Co 0.000 0.000 0.000
Co 0.500 0.500 0.500
H 0.000 0.500 0.250
H 0.000 0.500 0.750
H 0.250 0.000 0.500
H 0.500 0.250 0.000
H 0.500 0.750 0.000
H 0.750 0.000 0.500

Results
Space group: No. 223
Volume (Å³ per cell): 118.5
DFT total energy (eV/cell): -90.64

=====

Below is VCo2H2 after structural relaxation, with properties calculated at the PBE level.

Lattice parameters (Å, degrees): 4.573 4.573 4.573 140.33 140.33 57.35
Element x y z (fractional)
V 0.000 0.000 0.000
Co 0.345 0.345 0.000
Co 0.655 0.655 0.000
H 0.250 0.750 0.500
H 0.750 0.250 0.500

Results
Space group: No. 139
Volume (Å³ per cell): 38.6
DFT total energy (eV/cell): -30.13

=====

Below is V4CoH after structural relaxation, with properties calculated at the PBE level.

Lattice parameters (Å, degrees): 4.920 4.699 6.114 90.00 104.82 90.00
Element x y z (fractional)
V 0.097 0.151 0.201
V 0.097 0.349 0.701
V 0.342 0.594 0.115
V 0.342 0.906 0.615
V 0.658 0.094 0.385
V 0.658 0.406 0.885
V 0.903 0.651 0.299
V 0.903 0.849 0.799
Co 0.500 0.000 0.000
Co 0.500 0.500 0.500
H 0.000 0.000 0.500
H 0.000 0.500 0.000

Results
Space group: No. 14
Volume (Å³ per cell): 136.6
DFT total energy (eV/cell): -92.85

=====

Below is V5CoH4 after structural relaxation, with properties calculated at the PBE level.

Lattice parameters (Å, degrees): 6.574 6.574 5.240 101.36 101.36 22.76
Element x y z (fractional)
V 0.000 0.000 0.000
V 0.338 0.338 0.160
V 0.338 0.338 0.677
V 0.662 0.662 0.323
V 0.662 0.662 0.840
Co 0.000 0.000 0.500
H 0.189 0.189 0.595
H 0.499 0.499 0.729
H 0.501 0.501 0.271
H 0.811 0.811 0.405

Results
Space group: No. 12
Volume (Å³ per cell): 85.8
DFT total energy (eV/cell): -67.37

=====

Below is V2CoH after structural relaxation, with properties calculated at the PBE level.

Lattice parameters (Å, degrees): 3.916 3.916 3.916 60.00 60.00 60.00
Element x y z (fractional)
V 0.250 0.250 0.250
V 0.750 0.750 0.750
Co 0.000 0.000 0.000
H 0.500 0.500 0.500

Results
Space group: No. 225
Volume (Å³ per cell): 42.5
DFT total energy (eV/cell): -27.34

=====

Below is VCoH2 after structural relaxation, with properties calculated at the PBE level.

Lattice parameters (Å, degrees): 4.895 4.895 4.895 31.58 31.58 31.58
Element x y z (fractional)
V 0.000 0.000 0.000
Co 0.828 0.828 0.828
H 0.239 0.239 0.239
H 0.422 0.422 0.422

Results
Space group: No. 160
Volume (Å³ per cell): 28.6
DFT total energy (eV/cell): -22.79

=====

Below is V3Co5H12 after structural relaxation, with properties calculated at the PBE level.

Lattice parameters (Å, degrees): 8.796 8.796 8.796 109.47 109.47 109.47
Element x y z (fractional)
V 0.125 0.250 0.375
V 0.125 0.375 0.750
V 0.250 0.375 0.125
V 0.250 0.875 0.625
V 0.375 0.125 0.250
V 0.375 0.750 0.125
V 0.625 0.250 0.875
V 0.625 0.875 0.750
V 0.750 0.125 0.375
V 0.750 0.625 0.875
V 0.875 0.625 0.250
V 0.875 0.750 0.625
Co 0.000 0.000 0.000
Co 0.000 0.000 0.500
Co 0.000 0.500 0.000
Co 0.000 0.500 0.500
Co 0.125 0.750 0.875
Co 0.125 0.875 0.250
Co 0.250 0.125 0.875
Co 0.250 0.625 0.375
Co 0.375 0.250 0.625
Co 0.375 0.625 0.750
Co 0.500 0.000 0.000
Co 0.500 0.000 0.500
Co 0.500 0.500 0.000
Co 0.500 0.500 0.500
Co 0.625 0.375 0.250
Co 0.625 0.750 0.375
Co 0.750 0.375 0.625
Co 0.750 0.875 0.125
Co 0.875 0.125 0.750
Co 0.875 0.250 0.125
H 0.047 0.215 0.131
H 0.047 0.332 0.916
H 0.084 0.631 0.416
H 0.084 0.715 0.668
H 0.084 0.869 0.416
H 0.084 0.953 0.668
H 0.131 0.047 0.215
H 0.131 0.584 0.916
H 0.168 0.215 0.584
H 0.168 0.453 0.584
H 0.215 0.131 0.047
H 0.215 0.584 0.168
H 0.285 0.332 0.916
H 0.285 0.453 0.369
H 0.332 0.916 0.047
H 0.332 0.916 0.285
H 0.369 0.285 0.453
H 0.369 0.584 0.916
H 0.416 0.084 0.631
H 0.416 0.084 0.869
H 0.416 0.832 0.547
H 0.416 0.832 0.785
H 0.453 0.369 0.285
H 0.453 0.584 0.168
H 0.547 0.416 0.832
H 0.547 0.631 0.715
H 0.584 0.168 0.215
H 0.584 0.168 0.453
H 0.584 0.916 0.131
H 0.584 0.916 0.369
H 0.631 0.416 0.084
H 0.631 0.715 0.547
H 0.668 0.084 0.715
H 0.668 0.084 0.953
H 0.715 0.547 0.631
H 0.715 0.668 0.084
H 0.785 0.416 0.832
H 0.785 0.869 0.953
H 0.832 0.547 0.416
H 0.832 0.785 0.416
H 0.869 0.416 0.084
H 0.869 0.953 0.785
H 0.916 0.047 0.332
H 0.916 0.131 0.584
H 0.916 0.285 0.332
H 0.916 0.369 0.584
H 0.953 0.668 0.084
H 0.953 0.785 0.869

Results
Space group: No. 230
Volume (Å³ per cell): 523.9
DFT total energy (eV/cell): -411.37

=====

Below is VCo3H4 after structural relaxation, with properties calculated at the PBE level.

Lattice parameters (Å, degrees): 4.554 4.554 4.554 131.62 131.62 70.83
Element x y z (fractional)
V 0.000 0.000 0.000
Co 0.250 0.750 0.500
Co 0.500 0.500 0.000
Co 0.750 0.250 0.500
H 0.000 0.500 0.500
H 0.264 0.264 0.000
H 0.500 0.000 0.500
H 0.736 0.736 0.000

Results
Space group: No. 139
Volume (Å³ per cell): 51.7
DFT total energy (eV/cell): -44.53

=====

Below is VCoH2 after structural relaxation, with properties calculated at the PBE level.

Lattice parameters (Å, degrees): 4.948 4.948 4.948 31.77 31.77 31.77
Element x y z (fractional)
V 0.000 0.000 0.000
Co 0.500 0.500 0.500
H 0.126 0.126 0.126
H 0.874 0.874 0.874

Results
Space group: No. 166
Volume (Å³ per cell): 29.8
DFT total energy (eV/cell): -22.62

=====

Below is VCo2H2 after structural relaxation, with properties calculated at the PBE level.

Lattice parameters (Å, degrees): 5.562 5.562 2.603 90.00 90.00 90.00
Element x y z (fractional)
V 0.000 0.000 0.000
V 0.500 0.500 0.000
Co 0.148 0.352 0.500
Co 0.352 0.852 0.500
Co 0.648 0.148 0.500
Co 0.852 0.648 0.500
H 0.215 0.715 0.000
H 0.285 0.215 0.000
H 0.715 0.785 0.000
H 0.785 0.285 0.000

Results
Space group: No. 127
Volume (Å³ per cell): 80.5
DFT total energy (eV/cell): -59.09

=====

Below is VCo2H2 after structural relaxation, with properties calculated at the PBE level.

Lattice parameters (Å, degrees): 2.631 2.631 6.439 90.00 90.00 120.00
Element x y z (fractional)
V 0.000 0.000 0.000
Co 0.333 0.667 0.346
Co 0.667 0.333 0.654
H 0.333 0.667 0.813
H 0.667 0.333 0.187

Results
Space group: No. 164
Volume (Å³ per cell): 38.6
DFT total energy (eV/cell): -30.31

=====

Below is V6CoH after structural relaxation, with properties calculated at the PBE level.

Lattice parameters (Å, degrees): 4.257 4.838 4.917 95.26 112.71 91.00
Element x y z (fractional)
V 0.073 0.287 0.145
V 0.213 0.857 0.428
V 0.390 0.418 0.731
V 0.610 0.582 0.269
V 0.787 0.143 0.572
V 0.927 0.713 0.855
Co 0.500 0.000 0.000
H 0.000 0.500 0.500

Results
Space group: No. 2
Volume (Å³ per cell): 92.9
DFT total energy (eV/cell): -65.70

=====

Below is V2Co5H2 after structural relaxation, with properties calculated at the PBE level.

Lattice parameters (Å, degrees): 4.474 4.474 5.690 96.23 96.23 46.51
Element x y z (fractional)
V 0.072 0.072 0.215
V 0.928 0.928 0.785
Co 0.211 0.211 0.642
Co 0.361 0.361 0.068
Co 0.500 0.500 0.500
Co 0.639 0.639 0.932
Co 0.789 0.789 0.358
H 0.300 0.300 0.362
H 0.700 0.700 0.638

Results
Space group: No. 12
Volume (Å³ per cell): 82.0
DFT total energy (eV/cell): -61.40

=====

Below is V2Co9H after structural relaxation, with properties calculated at the PBE level.

Lattice parameters (Å, degrees): 3.554 3.554 10.112 90.00 90.00 90.00
Element x y z (fractional)
V 0.000 0.000 0.177
V 0.000 0.000 0.823
Co 0.000 0.500 0.000
Co 0.000 0.500 0.349
Co 0.000 0.500 0.651
Co 0.500 0.000 0.000
Co 0.500 0.000 0.349
Co 0.500 0.000 0.651
Co 0.500 0.500 0.172
Co 0.500 0.500 0.500
Co 0.500 0.500 0.828
H 0.000 0.000 0.500

Results
Space group: No. 123
Volume (Å³ per cell): 127.7
DFT total energy (eV/cell): -84.55

=====

Below is VCo3H3 after structural relaxation, with properties calculated at the PBE level.

Lattice parameters (Å, degrees): 4.760 4.760 4.760 80.09 80.09 80.09
Element x y z (fractional)
V 0.166 0.166 0.166
V 0.834 0.834 0.834
Co 0.176 0.358 0.642
Co 0.358 0.642 0.176
Co 0.358 0.824 0.642
Co 0.642 0.176 0.358
Co 0.642 0.358 0.824
Co 0.824 0.642 0.358
H 0.097 0.783 0.439
H 0.217 0.561 0.903
H 0.439 0.097 0.783
H 0.561 0.903 0.217
H 0.783 0.439 0.097
H 0.903 0.217 0.561

Results
Space group: No. 148
Volume (Å³ per cell): 103.5
DFT total energy (eV/cell): -80.92

=====

Below is V2CoH4 after structural relaxation, with properties calculated at the PBE level.

Lattice parameters (Å, degrees): 5.189 5.242 5.255 60.71 60.43 60.65
Element x y z (fractional)
V 0.000 0.000 0.000
V 0.000 0.000 0.500
V 0.000 0.500 0.000
V 0.500 0.000 0.000
Co 0.368 0.385 0.385
Co 0.632 0.615 0.615
H 0.244 0.754 0.752
H 0.244 0.762 0.246
H 0.247 0.247 0.762
H 0.250 0.249 0.247
H 0.750 0.751 0.753
H 0.753 0.753 0.238
H 0.756 0.238 0.754
H 0.756 0.246 0.248

Results
Space group: No. 2
Volume (Å³ per cell): 102.4
DFT total energy (eV/cell): -77.86

=====

Below is VCo3H2 after structural relaxation, with properties calculated at the PBE level.

Lattice parameters (Å, degrees): 4.906 4.906 8.971 116.99 116.99 30.61
Element x y z (fractional)
V 0.114 0.114 0.221
V 0.886 0.886 0.779
Co 0.118 0.118 0.725
Co 0.378 0.378 0.021
Co 0.380 0.380 0.522
Co 0.620 0.620 0.478
Co 0.622 0.622 0.979
Co 0.882 0.882 0.275
H 0.245 0.245 0.618
H 0.259 0.259 0.124
H 0.741 0.741 0.876
H 0.755 0.755 0.382

Results
Space group: No. 12
Volume (Å³ per cell): 97.0
DFT total energy (eV/cell): -75.32

=====

Below is V4Co2H after structural relaxation, with properties calculated at the PBE level.

Lattice parameters (Å, degrees): 6.826 6.826 6.826 149.85 149.85 43.16
Element x y z (fractional)
V 0.000 0.500 0.500
V 0.184 0.184 0.000
V 0.500 0.000 0.500
V 0.816 0.816 0.000
Co 0.356 0.356 0.000
Co 0.644 0.644 0.000
H 0.000 0.000 0.000

Results
Space group: No. 139
Volume (Å³ per cell): 80.0
DFT total energy (eV/cell): -53.62

=====

Below is VCoH2 after structural relaxation, with properties calculated at the PBE level.

Lattice parameters (Å, degrees): 4.903 5.553 4.374 90.00 90.00 90.00
Element x y z (fractional)
V 0.095 0.124 0.000
V 0.405 0.624 0.500
V 0.595 0.376 0.000
V 0.905 0.876 0.500
Co 0.075 0.619 0.979
Co 0.425 0.119 0.479
Co 0.575 0.881 0.979
Co 0.925 0.381 0.479
H 0.072 0.621 0.346
H 0.099 0.136 0.414
H 0.401 0.636 0.914
H 0.428 0.121 0.846
H 0.572 0.879 0.346
H 0.599 0.364 0.414
H 0.901 0.864 0.914
H 0.928 0.379 0.846

Results
Space group: No. 33
Volume (Å³ per cell): 119.1
DFT total energy (eV/cell): -92.33